[1]
Here is a geometry-optimized Ta2BrCl structure from the Alexandria database. Energies are from PBE-GGA.

Summary:
* mass density: 9068 kg/m³
* energy relative to the lowest polymorph listed for this composition: 0.0159 eV per atom
* DOS(E_F): 0.38 states/eV per atom
* uncorrected formation energy: -400 meV/atom

a = 3.1434 Å, b = 3.1434 Å, c = 30.6377 Å
α = 90.00°, β = 90.00°, γ = 120.00°
With the nearest neighbours (Å) after each atom.
Space group R3m (No. 160, hexagonal axes)
Inequivalent atoms, fractional coordinates:
Ta: 0.0000 0.0000 0.0000 x3  3 Cl 2.51
Ta: 0.0000 0.0000 0.2512 x3  3 Br 2.65
Br: 0.0000 0.0000 0.5217 x3  3 Ta 2.65
Cl: 0.0000 0.0000 0.7235 x3  3 Ta 2.51

---

[2]
Here is a geometry-optimized TaBrCl structure from the Alexandria database. Energies are from PBE-GGA.

Summary:
* mass density: 7906 kg/m³
* energy relative to the lowest polymorph listed for this composition: 0.8624 eV per atom
* DOS(E_F): 0.94 states/eV per atom
* uncorrected formation energy: 138 meV/atom

a = 6.2906 Å, b = 6.2906 Å, c = 6.2906 Å
α = 90.00°, β = 90.00°, γ = 90.00°
With the nearest neighbours (Å) after each atom.
Space group F-43m (No. 216)
Inequivalent atoms, fractional coordinates:
Ta: 0.0000 0.0000 0.0000 x4  4 Cl 2.72, 4 Br 2.72
Br: 0.2500 0.2500 0.7500 x4  4 Ta 2.72
Cl: 0.2500 0.2500 0.2500 x4  4 Ta 2.72

---

[3]
Here is a geometry-optimized TaBrCl4 structure from the Alexandria database. Energies are from PBE-GGA.

Summary:
* mass density: 2812 kg/m³
* energy relative to the lowest polymorph listed for this composition: 0.0000 eV per atom
* DOS(E_F): 0.00 states/eV per atom
* uncorrected formation energy: -1131 meV/atom

a = 5.2916 Å, b = 7.1867 Å, c = 13.5369 Å
α = 90.00°, β = 112.50°, γ = 90.00°
With the nearest neighbours (Å) after each atom.
Space group P2_1/c (No. 14)
Inequivalent atoms, fractional coordinates:
Ta: 0.0000 0.0000 0.0000 x2  4 Cl 2.32
Br: 0.5000 0.0000 0.0000 x2  2 Ta 2.65
Cl: 0.1035 0.2340 0.6054 x4  1 Ta 2.32
Cl: 0.1497 0.6836 0.6529 x4  1 Ta 2.32

---

[4]
Here is a geometry-optimized TaBr4Cl structure from the Alexandria database. Energies are from PBE-GGA.

Summary:
* mass density: 5852 kg/m³
* energy relative to the lowest polymorph listed for this composition: 2.0632 eV per atom
* DOS(E_F): 1.39 states/eV per atom
* uncorrected formation energy: 1077 meV/atom

a = 8.4735 Å, b = 8.4735 Å, c = 8.4735 Å
α = 90.00°, β = 90.00°, γ = 90.00°
With the nearest neighbours (Å) after each atom.
Space group F-43m (No. 216)
Inequivalent atoms, fractional coordinates:
Ta: 0.0000 0.0000 0.0000 x4  12 Br 3.51, 4 Cl 3.67
Br: 0.1256 0.1256 0.6256 x16  6 Br 2.98-3.01
Cl: 0.2500 0.2500 0.2500 x4  12 Br 3.51, 4 Ta 3.67

---

[5]
Here is a geometry-optimized Ta2BrCl structure from the Alexandria database. Energies are from PBE-GGA.

Summary:
* mass density: 10324 kg/m³
* energy relative to the lowest polymorph listed for this composition: 0.9101 eV per atom
* DOS(E_F): 0.85 states/eV per atom
* uncorrected formation energy: 495 meV/atom

a = 2.9314 Å, b = 4.5893 Å, c = 5.7058 Å
α = 90.00°, β = 90.00°, γ = 90.00°
With the nearest neighbours (Å) after each atom.
Space group Pmmm (No. 47)
Inequivalent atoms, fractional coordinates:
Ta: 0.0000 0.0000 0.0000 x1  4 Cl 2.72, 2 Ta 2.93
Ta: 0.5000 0.0000 0.5000 x1  4 Br 2.72, 2 Ta 2.93
Br: 0.0000 0.5000 0.5000 x1  4 Ta 2.72, 2 Br 2.93
Cl: 0.5000 0.5000 0.0000 x1  4 Ta 2.72, 2 Cl 2.93

---

[6]
Here is a geometry-optimized TaBr2Cl structure from the Alexandria database. Energies are from PBE-GGA.

Summary:
* mass density: 5520 kg/m³
* energy relative to the lowest polymorph listed for this composition: 0.3178 eV per atom
* DOS(E_F): 0.67 states/eV per atom
* uncorrected formation energy: -445 meV/atom

a = 3.1762 Å, b = 4.7014 Å, c = 15.1569 Å
α = 90.00°, β = 90.00°, γ = 90.00°
With the nearest neighbours (Å) after each atom.
Space group Immm (No. 71)
Inequivalent atoms, fractional coordinates:
Ta: 0.0000 0.0000 0.0000 x2  4 Br 2.64, 4 Cl 2.84
Br: 0.0000 0.5000 0.3605 x4  2 Ta 2.64
Cl: 0.0000 0.0000 0.5000 x2  4 Ta 2.84, 4 Br 3.16, 2 Cl 3.18

---

[7]
Here is a geometry-optimized TaBr2Cl structure from the Alexandria database. Energies are from PBE-GGA.

Summary:
* mass density: 6404 kg/m³
* energy relative to the lowest polymorph listed for this composition: 0.5514 eV per atom
* DOS(E_F): 0.79 states/eV per atom
* uncorrected formation energy: -212 meV/atom

a = 3.3115 Å, b = 3.3115 Å, c = 30.8138 Å
α = 90.00°, β = 90.00°, γ = 120.00°
With the nearest neighbours (Å) after each atom.
Space group R-3m (No. 166, hexagonal axes)
Inequivalent atoms, fractional coordinates:
Ta: 0.0000 0.0000 0.0000 x3  6 Br 2.68
Br: 0.0000 0.0000 0.3942 x6  3 Ta 2.68
Cl: 0.0000 0.0000 0.5000 x3  2 Br 3.26, 6 Cl 3.31

---

[8]
Here is a geometry-optimized TaBr2Cl structure from the Alexandria database. Energies are from PBE-GGA.

Summary:
* mass density: 7447 kg/m³
* energy relative to the lowest polymorph listed for this composition: 1.2189 eV per atom
* DOS(E_F): 0.65 states/eV per atom
* uncorrected formation energy: 456 meV/atom

a = 4.6427 Å, b = 4.6427 Å, c = 7.7833 Å
α = 90.00°, β = 90.00°, γ = 90.00°
With the nearest neighbours (Å) after each atom.
Space group I-4m2 (No. 119)
Inequivalent atoms, fractional coordinates:
Ta: 0.0000 0.0000 0.0000 x2  4 Cl 3.03, 8 Br 3.03-3.28
Br: 0.0000 0.0000 0.5000 x2  4 Br 3.03, 4 Cl 3.03, 4 Ta 3.28
Br: 0.0000 0.5000 0.7500 x2  4 Ta 3.03, 4 Br 3.03, 4 Cl 3.28
Cl: 0.0000 0.5000 0.2500 x2  4 Ta 3.03, 8 Br 3.03-3.28

---

[9]
Here is a geometry-optimized TaBr2Cl structure from the Alexandria database. Energies are from PBE-GGA.

Summary:
* mass density: 7599 kg/m³
* energy relative to the lowest polymorph listed for this composition: 1.0581 eV per atom
* DOS(E_F): 0.25 states/eV per atom
* uncorrected formation energy: 295 meV/atom

a = 6.9022 Å, b = 6.9022 Å, c = 6.9022 Å
α = 90.00°, β = 90.00°, γ = 90.00°
With the nearest neighbours (Å) after each atom.
Space group Fm-3m (No. 225)
Inequivalent atoms, fractional coordinates:
Ta: 0.0000 0.0000 0.0000 x4  8 Br 2.99
Br: 0.2500 0.2500 0.2500 x8  4 Cl 2.99, 4 Ta 2.99
Cl: 0.0000 0.0000 0.5000 x4  8 Br 2.99

---

[10]
Here is a geometry-optimized Ta2BrCl structure from the Alexandria database. Energies are from PBE-GGA.

Summary:
* mass density: 10170 kg/m³
* energy relative to the lowest polymorph listed for this composition: 0.8069 eV per atom
* DOS(E_F): 0.30 states/eV per atom
* uncorrected formation energy: 391 meV/atom

a = 4.2743 Å, b = 4.2743 Å, c = 17.0607 Å
α = 90.00°, β = 90.00°, γ = 90.00°
With the nearest neighbours (Å) after each atom.
Space group I-42d (No. 122)
Inequivalent atoms, fractional coordinates:
Ta: 0.2356 0.2500 0.1250 x8  2 Cl 2.59, 2 Br 2.64
Br: 0.0000 0.0000 0.5000 x4  4 Ta 2.64
Cl: 0.0000 0.0000 0.0000 x4  4 Ta 2.59

---

[11]
Here is a geometry-optimized TaBrCl3 structure from the Alexandria database. Energies are from PBE-GGA.

Summary:
* mass density: 3812 kg/m³
* energy relative to the lowest polymorph listed for this composition: 0.0000 eV per atom
* uncorrected formation energy: -1207 meV/atom

a = 6.9396 Å, b = 8.8980 Å, c = 10.3609 Å
α = 90.00°, β = 90.00°, γ = 90.00°
With the nearest neighbours (Å) after each atom.
Space group Immm (No. 71)
Inequivalent atoms, fractional coordinates:
Ta: 0.2207 0.0000 0.0000 x4  4 Cl 2.32-2.54, 2 Br 2.59
Br: 0.0000 0.0000 0.2010 x4  2 Ta 2.59
Cl: 0.0000 0.5000 0.3409 x4  2 Ta 2.54
Cl: 0.2439 0.2598 0.0000 x8  1 Ta 2.32

---

[12]
Here is a geometry-optimized TaBr2Cl3 structure from the Alexandria database. Energies are from PBE-GGA.

Summary:
* mass density: 2926 kg/m³
* DOS(E_F): 0.00 states/eV per atom
* uncorrected formation energy: -1161 meV/atom

a = 14.0206 Å, b = 7.2807 Å, c = 10.7993 Å
α = 90.00°, β = 112.99°, γ = 90.00°
With the nearest neighbours (Å) after each atom.
Space group C2/c (No. 15)
Inequivalent atoms, fractional coordinates:
Ta: 0.0000 0.1767 0.2500 x4  3 Cl 2.28-2.34, 2 Br 2.43
Br: 0.1029 0.3476 0.4519 x8  1 Ta 2.43
Cl: 0.0000 0.1368 0.7500 x4  1 Ta 2.28
Cl: 0.1398 0.1738 0.1836 x8  1 Ta 2.34

---

[13]
Here is a geometry-optimized TaBr2Cl structure from the Alexandria database. Energies are from PBE-GGA.

Summary:
* mass density: 7562 kg/m³
* energy relative to the lowest polymorph listed for this composition: 1.3855 eV per atom
* DOS(E_F): 1.09 states/eV per atom
* uncorrected formation energy: 622 meV/atom

a = 4.9632 Å, b = 4.9632 Å, c = 3.3536 Å
α = 90.00°, β = 90.00°, γ = 90.00°
With the nearest neighbours (Å) after each atom.
Space group P4/mmm (No. 123)
Inequivalent atoms, fractional coordinates:
Ta: 0.0000 0.0000 0.0000 x1  8 Br 2.99, 2 Ta 3.35
Br: 0.0000 0.5000 0.5000 x2  4 Cl 2.99, 4 Ta 2.99, 2 Br 3.35
Cl: 0.5000 0.5000 0.0000 x1  8 Br 2.99, 2 Cl 3.35

---

[14]
Here is a geometry-optimized TaBrCl structure from the Alexandria database. Energies are from PBE-GGA.

Summary:
* mass density: 6546 kg/m³
* energy relative to the lowest polymorph listed for this composition: 1.8282 eV per atom
* DOS(E_F): 1.16 states/eV per atom
* uncorrected formation energy: 1104 meV/atom

a = 6.6994 Å, b = 6.6994 Å, c = 6.6994 Å
α = 90.00°, β = 90.00°, γ = 90.00°
With the nearest neighbours (Å) after each atom.
Space group F-43m (No. 216)
Inequivalent atoms, fractional coordinates:
Ta: 0.0000 0.0000 0.0000 x4  4 Br 2.90
Br: 0.2500 0.2500 0.7500 x4  4 Ta 2.90, 4 Cl 2.90
Cl: 0.0000 0.0000 0.5000 x4  4 Br 2.90